# Nd4CBr4Cl | OQMD via LeMat-Bulk | PBE-GGA | relaxed
# crystal system: monoclinic
# total moment: 0.377 μB per cell
# uncorrected energy: -5.1657 eV per atom
data_Nd4CBr4Cl
_space_group_name_H-M_alt 'C 1 2/m 1'
_space_group_IT_number 12
_space_group_name_Hall '-C 2y'
_cell_length_a 18.4114
_cell_length_b 3.9294
_cell_length_c 8.1930
_cell_angle_alpha 90.00
_cell_angle_beta 103.75
_cell_angle_gamma 90.00
loop_
_atom_site_label
_atom_site_type_symbol
_atom_site_fract_x
_atom_site_fract_y
_atom_site_fract_z
_atom_site_occupancy
Nd1 Nd 0.0011 0.0000 0.2868 1
Nd2 Nd 0.1412 0.5000 0.5801 1
C1 C 0.0000 0.5000 0.5000 1
Br1 Br 0.1641 0.0000 0.8574 1
Br2 Br 0.1702 0.0000 0.3256 1
Cl1 Cl 0.0000 0.5000 0.0000 1

=====

# Nd4C2BrCl4 | OQMD via LeMat-Bulk | PBE-GGA | relaxed
# crystal system: monoclinic
# total moment: 0.001 μB per cell
# uncorrected energy: -5.7710 eV per atom
data_Nd4C2BrCl4
_space_group_name_H-M_alt 'C 1 2/m 1'
_space_group_IT_number 12
_space_group_name_Hall '-C 2y'
_cell_length_a 19.2075
_cell_length_b 3.9165
_cell_length_c 8.0438
_cell_angle_alpha 90.00
_cell_angle_beta 114.60
_cell_angle_gamma 90.00
loop_
_atom_site_label
_atom_site_type_symbol
_atom_site_fract_x
_atom_site_fract_y
_atom_site_fract_z
_atom_site_occupancy
Nd1 Nd 0.0000 0.0000 0.2047 1
Nd2 Nd 0.1691 0.5000 0.1684 1
C1 C 0.0404 0.5000 0.0403 1
Br1 Br 0.0000 0.5000 0.5000 1
Cl1 Cl 0.1667 0.0000 0.4283 1
Cl2 Cl 0.1668 0.0000 0.9034 1

=====

# Nd4C2Br4Cl | OQMD via LeMat-Bulk | PBE-GGA | relaxed
# crystal system: monoclinic
# total moment: 0.011 μB per cell
# uncorrected energy: -5.5826 eV per atom
data_Nd4C2Br4Cl
_space_group_name_H-M_alt 'C 1 2/m 1'
_space_group_IT_number 12
_space_group_name_Hall '-C 2y'
_cell_length_a 20.1721
_cell_length_b 3.9210
_cell_length_c 8.0226
_cell_angle_alpha 90.00
_cell_angle_beta 113.27
_cell_angle_gamma 90.00
loop_
_atom_site_label
_atom_site_type_symbol
_atom_site_fract_x
_atom_site_fract_y
_atom_site_fract_z
_atom_site_occupancy
Nd1 Nd 0.0000 0.0000 0.2101 1
Nd2 Nd 0.1600 0.5000 0.1592 1
C1 C 0.0379 0.5000 0.0378 1
Br1 Br 0.1637 0.0000 0.4428 1
Br2 Br 0.1638 0.0000 0.8829 1
Cl1 Cl 0.0000 0.5000 0.5000 1